{"formula": "CdSiW2", "functional": "meta-GGA SCAN", "state": "single point on PBEsol structure", "lattice_angstrom": [[-0.381, -1.186, -2.448], [0.567, -1.956, 1.843], [-8.596, -0.843, 1.748]], "species": ["Cd", "Si", "W", "W"], "fractional_positions": [[0.500, 0.500, 0.500], [0.500, 0.500, 0.000], [0.000, 0.000, 0.223], [0.000, 0.000, 0.777]], "relative_energy_mev_per_atom": 0, "formation_energy_uncorrected_mev_per_atom": 438, "dos_at_fermi_per_ev_fu": 2.62}